# 1
{
  "formula": "LuPuTcHg",
  "functional": "GGA-PBE",
  "state": "optimized geometry",
  "cell": [[4.993, 0.000, 0.000], [2.497, 4.324, 0.000], [2.497, 1.441, 4.077]],
  "species": ["Hg", "Lu", "Pu", "Tc"],
  "fractional_positions": [[0.750, 0.750, 0.750], [0.500, 0.500, 0.500], [0.000, 0.000, 0.000], [0.250, 0.250, 0.250]],
  "sg": "F-43m (216)",
  "e_form_ev_per_atom": 0.0198,
  "magmom_total_mub_per_atom": 1.27
}



# 2
{
  "formula": "LuPuThHg",
  "functional": "GGA-PBE",
  "state": "optimized geometry",
  "cell": [[-4.615, -1.584, -2.149], [-3.749, -2.220, 3.073], [-4.492, 2.665, 1.070]],
  "species": ["Pu", "Hg", "Th", "Lu"],
  "fractional_positions": [[0.750, 0.750, 0.750], [0.250, 0.250, 0.250], [0.000, 0.000, 0.000], [0.500, 0.500, 0.500]],
  "sg": "F-43m (216)",
  "e_form_ev_per_atom": 0.0661,
  "magmom_total_mub_per_atom": 1.95
}



# 3
{
  "formula": "RbLuHg2",
  "functional": "GGA-PBE",
  "state": "optimized geometry",
  "cell": [[-3.690, 0.618, 0.738], [0.168, -2.466, 2.905], [2.129, 6.382, 5.295]],
  "species": ["Hg", "Hg", "Rb", "Lu"],
  "fractional_positions": [[0.000, 0.000, 0.188], [0.000, 0.000, 0.812], [0.500, 0.500, 0.500], [0.500, 0.500, 0.000]],
  "sg": "P4/mmm (123)",
  "e_form_ev_per_atom": -0.2224,
  "e_above_lowest_polymorph_mev_per_atom": 0.0,
  "magmom_total_mub_per_atom": 0.00
}



# 4
{
  "formula": "Lu2HgRh",
  "functional": "GGA-PBE",
  "state": "optimized geometry",
  "cell": [[-3.471, -0.654, 3.466], [-4.429, -1.822, -1.247], [-1.275, -4.574, 1.393]],
  "species": ["Lu", "Lu", "Rh", "Hg"],
  "fractional_positions": [[0.750, 0.750, 0.750], [0.250, 0.250, 0.250], [0.000, 0.000, 0.000], [0.500, 0.500, 0.500]],
  "sg": "Fm-3m (225)",
  "e_form_ev_per_atom": -0.6560,
  "e_above_lowest_polymorph_mev_per_atom": 101.4,
  "magmom_total_mub_per_atom": 0.00
}



# 5
{
  "formula": "Lu2HgRh",
  "functional": "GGA-PBE",
  "state": "optimized geometry",
  "cell": [[3.424, 0.000, 0.000], [0.000, 3.424, 0.000], [0.000, 0.000, 7.371]],
  "species": ["Lu", "Lu", "Hg", "Rh"],
  "fractional_positions": [[0.000, 0.000, 0.780], [0.000, 0.000, 0.220], [0.500, 0.500, 0.500], [0.500, 0.500, 0.000]],
  "sg": "P4/mmm (123)",
  "e_form_ev_per_atom": -0.7575,
  "e_above_lowest_polymorph_mev_per_atom": 0.0,
  "magmom_total_mub_per_atom": 0.00
}



# 6
{
  "formula": "Lu2HgRh",
  "functional": "GGA-PBE",
  "state": "optimized geometry",
  "cell": [[-0.663, -1.093, -3.630], [-0.776, -3.686, -0.789], [-7.928, -0.228, -0.523]],
  "species": ["Hg", "Lu", "Lu", "Rh"],
  "fractional_positions": [[0.500, 0.500, 0.500], [0.266, 0.266, 0.203], [0.734, 0.734, 0.797], [0.000, 0.000, 0.000]],
  "sg": "R-3m (166)",
  "e_form_ev_per_atom": -0.6122,
  "e_above_lowest_polymorph_mev_per_atom": 145.2,
  "magmom_total_mub_per_atom": 0.00
}



# 7
{
  "formula": "LuThHgRh",
  "functional": "GGA-PBE",
  "state": "optimized geometry",
  "cell": [[5.121, 0.000, 0.000], [2.561, 4.435, 0.000], [2.561, 1.478, 4.181]],
  "species": ["Lu", "Rh", "Th", "Hg"],
  "fractional_positions": [[0.500, 0.500, 0.500], [0.750, 0.750, 0.750], [0.000, 0.000, 0.000], [0.250, 0.250, 0.250]],
  "sg": "F-43m (216)",
  "e_form_ev_per_atom": -0.4947,
  "magmom_total_mub_per_atom": 0.00
}



# 8
{
  "formula": "YLuHgRh",
  "functional": "GGA-PBE",
  "state": "optimized geometry",
  "cell": [[5.006, 0.000, 0.000], [2.503, 4.336, 0.000], [2.503, 1.445, 4.088]],
  "species": ["Hg", "Lu", "Y", "Rh"],
  "fractional_positions": [[0.250, 0.250, 0.250], [0.500, 0.500, 0.500], [0.000, 0.000, 0.000], [0.750, 0.750, 0.750]],
  "sg": "F-43m (216)",
  "e_form_ev_per_atom": -0.6334,
  "magmom_total_mub_per_atom": 0.00
}